[1]
Density functional theory data (PBE-GGA) for crystalline EuAgPt at its relaxed geometry.

```
EuAgPt
1.0
3.7482 0.0000 0.0000
0.0000 4.6502 0.0000
0.0000 -2.3251 4.0272
Eu Ag Pt
1 1 1
direct
0.6666 0.6667 0.3333
0.1667 0.0000 0.0000
0.1667 0.3333 0.6667
```

Its energy of formation from the pure elements is -0.503 eV per atom. As for the density of states at the Fermi level: 13.40 states/eV/cell. The energy relative to the lowest polymorph listed for this composition comes out at 0 meV/atom.


[2]
Density functional theory data (PBE-GGA) for crystalline SmHo2In3Te6 at its relaxed geometry.

```
SmHo2In3Te6
1.0
-0.2143 -2.3590 7.2910
0.7610 -5.1126 -5.6614
7.8877 3.1828 -0.0827
Sm Ho In Te
1 2 3 6
direct
0.0000 0.0000 0.0000
0.3331 0.6669 0.0000
0.6669 0.3331 0.0000
0.1649 0.8351 0.5000
0.8351 0.1649 0.5000
0.5000 0.5000 0.5000
0.9264 0.5873 0.7795
0.7336 0.7336 0.2186
0.0736 0.4127 0.2205
0.5873 0.9264 0.7795
0.2664 0.2664 0.7814
0.4127 0.0736 0.2205
```

The formation energy from raw total energies is -11.64 eV per formula unit. As for the density of states at the Fermi level: 1.14 states/eV/cell.


[3]
Density functional theory data (PBE-GGA) for crystalline SrTa2Cr at its relaxed geometry.

```
SrTa2Cr
1.0
-0.9922 -3.3407 0.2927
1.2408 -0.6493 -3.2056
6.5676 -1.6977 2.8860
Cr Sr Ta
1 1 2
direct
0.0000 0.0000 0.4110
0.5000 0.5000 0.7369
0.0000 0.0000 0.0857
0.5000 0.5000 0.2663
```

Its energy of formation from the pure elements is 0.639 eV per atom. As for the density of states at the Fermi level: 5.57 states/eV/cell. The energy relative to the lowest polymorph listed for this composition comes out at 49 meV/atom.


[4]
Density functional theory data (PBE-GGA) for crystalline KReBr2 at its relaxed geometry.

```
KReBr2
1.0
4.2994 -0.0417 0.0000
-2.3090 3.6270 0.0000
0.0000 0.0000 7.7619
Br K Re
2 1 1
direct
0.0000 0.0000 0.9506
0.0000 0.0000 0.5494
0.5000 0.5000 0.2500
0.5000 0.5000 0.7500
```

The formation energy from raw total energies is 1.74 eV per formula unit. As for the density of states at the Fermi level: 2.67 states/eV/cell. The energy relative to the lowest polymorph listed for this composition comes out at 228 meV/atom.


[5]
Density functional theory data (PBE-GGA) for crystalline CsMn5Se8 at its relaxed geometry.

```
CsMn5Se8
1.0
-2.4628 -2.7808 -0.3590
1.4951 -2.4646 8.8341
-5.9271 7.6918 0.4767
Cs Mn Se
1 5 8
direct
0.5001 0.5001 0.0002
0.2950 0.6621 0.5900
0.7049 0.3379 0.4098
0.3394 0.0066 0.6789
0.6606 0.9935 0.3212
0.0000 0.9999 0.0000
0.2412 0.1584 0.4823
0.7588 0.8417 0.5177
0.1683 0.4877 0.3366
0.8316 0.5122 0.6632
0.0882 0.8422 0.1764
0.9119 0.1579 0.8238
0.4277 0.8397 0.8554
0.5723 0.1602 0.1445
```

The formation energy from raw total energies is -7.76 eV per formula unit. As for the density of states at the Fermi level: 7.45 states/eV/cell.


[6]
Density functional theory data (PBE-GGA) for crystalline CsTl3S2 at its relaxed geometry.

```
CsTl3S2
1.0
4.5047 0.0000 0.0000
-2.2523 8.6475 -0.1568
0.0000 -3.9108 10.7297
Cs Tl S
2 6 4
direct
0.8748 0.7497 0.9757
0.1252 0.2503 0.0243
0.2978 0.5957 0.6152
0.9647 0.9293 0.6394
0.6196 0.2393 0.6453
0.3804 0.7607 0.3547
0.0353 0.0707 0.3606
0.7022 0.4043 0.3848
0.4620 0.9240 0.7986
0.5380 0.0760 0.2014
0.7833 0.5667 0.2208
0.2167 0.4333 0.7792
```

The formation energy from raw total energies is -3.00 eV per formula unit. The energy relative to the lowest polymorph listed for this composition comes out at 34 meV/atom.


[7]
Density functional theory data (PBE-GGA) for crystalline Tb3Pm6Ho2In at its relaxed geometry.

```
Tb3Pm6Ho2In
1.0
6.1951 -0.0087 0.0061
-3.1035 5.3617 0.0061
-1.0586 -1.8329 11.5786
Tb Pm Ho In
3 6 2 1
direct
0.1678 0.8322 0.5000
0.8322 0.1678 0.5000
0.5000 0.5000 0.5000
0.9186 0.5911 0.7536
0.7544 0.7544 0.2480
0.0814 0.4089 0.2464
0.5911 0.9186 0.7536
0.2456 0.2456 0.7520
0.4089 0.0814 0.2464
0.3338 0.6662 0.0000
0.6662 0.3338 0.0000
0.0000 0.0000 0.0000
```

Its energy of formation from the pure elements is -0.036 eV per atom. As for the density of states at the Fermi level: 13.82 states/eV/cell.


[8]
Density functional theory data (PBE-GGA) for crystalline SmThPtRh at its relaxed geometry.

```
SmThPtRh
1.0
-3.3169 1.2056 1.5909
-2.2021 -1.5499 -3.4168
1.1125 -5.5008 1.7782
Sm Th Pt Rh
1 1 1 1
direct
0.1408 0.0000 0.2816
0.8668 0.5000 0.7335
0.5901 0.5000 0.1803
0.4023 0.0000 0.8046
```

Its energy of formation from the pure elements is -1.068 eV per atom. As for the density of states at the Fermi level: 3.18 states/eV/cell. The energy relative to the lowest polymorph listed for this composition comes out at 0 meV/atom.